! Ta2FeNiAs (PBE, optimized geometry); values from VASP
&SYSTEM
  ibrav = 0, nat = 5, ntyp = 4
/
ATOMIC_SPECIES
Ni 58.69 Ni.upf
As 74.92 As.upf
Fe 55.84 Fe.upf
Ta 180.95 Ta.upf
ATOMIC_POSITIONS crystal
Ni 0.5000 0.5000 0.5000
As 0.0000 0.0000 0.0000
Fe 0.0000 0.5000 0.0000
Ta 0.0000 0.0000 0.5000
Ta 0.5000 0.0000 0.0000
CELL_PARAMETERS angstrom
-0.2193 -3.1445 -3.5366
-0.4303 -3.1031 2.7858
-4.7073 0.5087 -0.1604
! E: -7.47 eV/atom
! Magnetic moment: 2.22 μB/f.u.
! DOS at the Fermi energy: 7.26 states/eV per cell
! Energy of formation from the pure elements: 1.0470 eV per atom
! Space group: P4/mmm, No. 123

! Ta2FeNi7As2 (PBE, optimized geometry); values from VASP
&SYSTEM
  ibrav = 0, nat = 12, ntyp = 4
/
ATOMIC_SPECIES
Ta 180.95 Ta.upf
Fe 55.84 Fe.upf
Ni 58.69 Ni.upf
As 74.92 As.upf
ATOMIC_POSITIONS crystal
Ta 0.7837 0.7837 0.7136
Ta 0.2163 0.2163 0.2864
Fe 0.0000 0.0000 0.0000
Ni 0.5000 0.5000 0.0000
Ni 0.2347 0.2347 0.4989
Ni 0.7653 0.7653 0.5011
Ni 0.8652 0.3653 0.1365
Ni 0.3653 0.8652 0.1365
Ni 0.6347 0.1348 0.8635
Ni 0.1348 0.6347 0.8635
As 0.6512 0.6512 0.3521
As 0.3488 0.3488 0.6479
CELL_PARAMETERS angstrom
-3.2354 0.1569 1.3710
1.1125 -1.6887 2.8780
0.8107 9.9047 9.7911
! E: -6.89 eV/atom
! Magnetic moment: 3.34 μB/f.u.
! DOS at the Fermi energy: 8.34 states/eV per cell
! Energy of formation from the pure elements: -0.0618 eV per atom
! Space group: C2/m, No. 12

! FeTcNiAs2 (PBE, optimized geometry); values from VASP
&SYSTEM
  ibrav = 0, nat = 5, ntyp = 4
/
ATOMIC_SPECIES
Ni 58.69 Ni.upf
As 74.92 As.upf
Tc 98.00 Tc.upf
Fe 55.84 Fe.upf
ATOMIC_POSITIONS crystal
Ni 0.5000 0.5000 0.5000
As 0.0000 0.0000 0.5000
As 0.5000 0.0000 0.0000
Tc 0.0000 0.5000 0.0000
Fe 0.0000 0.0000 0.0000
CELL_PARAMETERS angstrom
-0.2726 4.4051 -0.0202
-2.2889 -0.1592 -3.8244
-3.7781 -0.2234 2.2705
! E: -5.77 eV/atom
! Magnetic moment: 0.62 μB/f.u.
! DOS at the Fermi energy: 6.73 states/eV per cell
! Energy of formation from the pure elements: 1.0113 eV per atom
! Space group: P4/mmm, No. 123

! Th2FeNi3As4 (PBE, optimized geometry); values from VASP
&SYSTEM
  ibrav = 0, nat = 10, ntyp = 4
/
ATOMIC_SPECIES
Th 232.04 Th.upf
Fe 55.84 Fe.upf
Ni 58.69 Ni.upf
As 74.92 As.upf
ATOMIC_POSITIONS crystal
Th 0.5000 0.0000 0.2559
Th 0.0000 0.5000 0.7441
Fe 0.5000 0.5000 0.5000
Ni 0.0000 0.0000 0.5000
Ni 0.5000 0.0000 0.8801
Ni 0.0000 0.5000 0.1199
As 0.5000 0.5000 0.0000
As 0.0000 0.0000 0.0000
As 0.5000 0.0000 0.6292
As 0.0000 0.5000 0.3708
CELL_PARAMETERS angstrom
4.2191 0.0000 0.0000
0.0000 4.2191 0.0000
0.0000 0.0000 9.5043
! E: -6.71 eV/atom
! Magnetic moment: 1.74 μB/f.u.
! DOS at the Fermi energy: 4.77 states/eV per cell
! Energy of formation from the pure elements: -0.7807 eV per atom
! Space group: P-4m2, No. 115

! Zn2FeNi7As2 (PBE, optimized geometry); values from VASP
&SYSTEM
  ibrav = 0, nat = 12, ntyp = 4
/
ATOMIC_SPECIES
Zn 65.41 Zn.upf
Fe 55.84 Fe.upf
Ni 58.69 Ni.upf
As 74.92 As.upf
ATOMIC_POSITIONS crystal
Zn 0.6349 0.6349 0.7341
Zn 0.3651 0.3651 0.2659
Fe 0.0000 0.0000 0.0000
Ni 0.5000 0.5000 0.0000
Ni 0.2759 0.2759 0.4485
Ni 0.7241 0.7241 0.5515
Ni 0.9326 0.4325 0.1309
Ni 0.4325 0.9326 0.1309
Ni 0.5675 0.0674 0.8691
Ni 0.0674 0.5675 0.8691
As 0.8087 0.8087 0.3832
As 0.1913 0.1913 0.6168
CELL_PARAMETERS angstrom
3.3998 -0.0022 0.0243
0.0019 3.3998 0.0243
1.6358 1.6338 13.9056
! E: -5.07 eV/atom
! Magnetic moment: 4.59 μB/f.u.
! DOS at the Fermi energy: 9.73 states/eV per cell
! Energy of formation from the pure elements: -0.0034 eV per atom
! Space group: C2/m, No. 12

! NpFe5As3 (PBE, optimized geometry); values from VASP
&SYSTEM
  ibrav = 0, nat = 18, ntyp = 3
/
ATOMIC_SPECIES
Np 237.00 Np.upf
Fe 55.84 Fe.upf
As 74.92 As.upf
ATOMIC_POSITIONS crystal
Np 0.8372 0.6744 0.7500
Np 0.1628 0.3256 0.2500
Fe 0.8084 0.6168 0.4514
Fe 0.1916 0.3832 0.9514
Fe 0.0000 0.0000 0.5000
Fe 0.0000 0.0000 0.0000
Fe 0.4333 0.8667 0.1426
Fe 0.5667 0.1333 0.8574
Fe 0.5667 0.1333 0.6426
Fe 0.8084 0.6168 0.0486
Fe 0.1916 0.3832 0.5486
Fe 0.4333 0.8667 0.3574
As 0.3831 0.7661 0.9336
As 0.8669 0.7339 0.2500
As 0.3831 0.7661 0.5664
As 0.6169 0.2339 0.4336
As 0.1331 0.2661 0.7500
As 0.6169 0.2339 0.0664
CELL_PARAMETERS angstrom
3.8170 0.0000 0.0000
-1.9085 6.1432 0.0000
0.0000 0.0000 11.5067
! E: -7.87 eV/atom
! Magnetic moment: 14.60 μB/f.u.
! DOS at the Fermi energy: 30.63 states/eV per cell
! Energy of formation from the pure elements: -0.1762 eV per atom
! Space group: Cmcm, No. 63

! Np2FeAs4Rh3 (PBE, optimized geometry); values from VASP
&SYSTEM
  ibrav = 0, nat = 10, ntyp = 4
/
ATOMIC_SPECIES
Np 237.00 Np.upf
Fe 55.84 Fe.upf
As 74.92 As.upf
Rh 102.91 Rh.upf
ATOMIC_POSITIONS crystal
Np 0.5000 0.0000 0.2496
Np 0.0000 0.5000 0.7504
Fe 0.5000 0.5000 0.5000
As 0.5000 0.5000 0.0000
As 0.0000 0.0000 0.0000
As 0.5000 0.0000 0.6272
As 0.0000 0.5000 0.3728
Rh 0.0000 0.0000 0.5000
Rh 0.5000 0.0000 0.8744
Rh 0.0000 0.5000 0.1256
CELL_PARAMETERS angstrom
4.2571 0.0000 0.0000
0.0000 4.2571 0.0000
0.0000 0.0000 9.8130
! E: -7.96 eV/atom
! Magnetic moment: 9.16 μB/f.u.
! DOS at the Fermi energy: 23.69 states/eV per cell
! Energy of formation from the pure elements: -0.4629 eV per atom
! Space group: P-4m2, No. 115

! NpFeAs2Ru (PBE, optimized geometry); values from VASP
&SYSTEM
  ibrav = 0, nat = 5, ntyp = 4
/
ATOMIC_SPECIES
Np 237.00 Np.upf
Fe 55.84 Fe.upf
As 74.92 As.upf
Ru 101.07 Ru.upf
ATOMIC_POSITIONS crystal
Np 0.0000 0.0000 0.0000
Fe 0.7500 0.2500 0.5000
As 0.6285 0.6285 0.2570
As 0.3715 0.3715 0.7430
Ru 0.2500 0.7500 0.5000
CELL_PARAMETERS angstrom
4.0407 0.0000 0.0000
0.0000 4.0407 0.0000
-2.0203 -2.0203 5.2014
! E: -8.33 eV/atom
! Magnetic moment: 3.97 μB/f.u.
! DOS at the Fermi energy: 13.19 states/eV per cell
! Energy of formation from the pure elements: -0.3311 eV per atom
! Space group: I-4m2, No. 119

magnetic moment of number 3 (FeTcNiAs2)? 0.62 μB/f.u.